Record 1
First-principles (PBE-GGA) data for Rb2CaAg after structural relaxation, as listed in Alexandria.

a b c (Å): 12.2911 12.2911 6.1751
angles (deg): 90.00 90.00 90.00
With the nearest neighbours (Å) after each atom.
Space group I-42d (No. 122)
One atom of each set of equivalent atoms:
Rb 0.1282 0.2500 0.1250 [8 per cell]  2 Ag 3.54
Ca 0.0000 0.0000 0.5000 [4 per cell]  2 Ag 3.09
Ag 0.0000 0.0000 0.0000 [4 per cell]  2 Ca 3.09

For the relative energy among the computed polymorphs, the calculation gives 0 meV/atom. As for the total magnetization: 0.00 μB per formula unit. The calculation puts the density of states at the Fermi level at 15.25 states/eV/cell. The calculation puts the energy of formation at 0.1973 eV per atom. For the total energy, the calculation gives -1.500 eV/atom.

Record 2
First-principles (PBE-GGA) data for NaHf3S after structural relaxation, as listed in Alexandria.

a b c (Å): 4.8467 4.8467 4.8467
angles (deg): 90.00 90.00 90.00
With the nearest neighbours (Å) after each atom.
Space group Pm-3m (No. 221)
One atom of each set of equivalent atoms:
Na 0.0000 0.0000 0.0000 [1 per cell]  12 Hf 3.43
Hf 0.0000 0.5000 0.5000 [3 per cell]  2 S 2.42
S 0.5000 0.5000 0.5000 [1 per cell]  6 Hf 2.42

For the relative energy among the computed polymorphs, the calculation gives 0 meV/atom. The value obtained for the formation energy from raw total energies is -0.036 eV per atom. As for the total magnetization: 0.00 μB per formula unit. The calculation puts the density of states at the Fermi level at 3.06 states/eV/cell. For the total energy, the calculation gives -7.098 eV/atom.

Record 3
First-principles (PBE-GGA) data for La2TbSmP4 after structural relaxation, as listed in Alexandria.

a b c (Å): 7.2231 4.1734 7.2267
angles (deg): 90.00 109.44 90.00
With the nearest neighbours (Å) after each atom.
Space group P2/m (No. 10)
One atom of each set of equivalent atoms:
La 0.0000 0.0000 0.0000 [1 per cell]  6 P 2.98
La 0.5000 0.5000 0.0000 [1 per cell]  6 P 3.00
Tb 0.0000 0.5000 0.5000 [1 per cell]  6 P 2.90
Sm 0.5000 0.0000 0.5000 [1 per cell]  6 P 2.92
P 0.2443 0.0000 0.7392 [2 per cell]  2 Tb 2.90, 1 Sm 2.92, 3 La 2.98-3.00
P 0.2509 0.5000 0.2596 [2 per cell]  1 Tb 2.90, 2 Sm 2.92, 3 La 2.98-3.00

As for the total magnetization: 0.00 μB per formula unit. The calculation puts the density of states at the Fermi level at 0.71 states/eV/cell. The calculation puts the energy of formation at -1.5748 eV per atom. For the total energy, the calculation gives -6.680 eV/atom.

Record 4
First-principles (PBE-GGA) data for SiBi2Pd after structural relaxation, as listed in Alexandria.

a b c (Å): 6.4072 6.4072 12.0840
angles (deg): 90.00 90.00 90.00
With the nearest neighbours (Å) after each atom.
Space group I-42d (No. 122)
One atom of each set of equivalent atoms:
Si 0.0000 0.0000 0.0000 [4 per cell]  4 Bi 2.75
Bi 0.2426 0.2500 0.6250 [8 per cell]  2 Pd 2.70, 2 Si 2.75
Pd 0.0000 0.0000 0.5000 [4 per cell]  4 Bi 2.70

The value obtained for the formation energy from raw total energies is 0.207 eV per atom. As for the total magnetization: 0.00 μB per formula unit. The calculation puts the density of states at the Fermi level at 3.07 states/eV/cell. For the total energy, the calculation gives -4.387 eV/atom.

Record 5
First-principles (PBE-GGA) data for Bi4O5 after structural relaxation, as listed in Alexandria.

a b c (Å): 10.9161 11.8529 5.5139
angles (deg): 90.00 99.05 90.00
With the nearest neighbours (Å) after each atom.
Space group Cc (No. 9)
One atom of each set of equivalent atoms:
Bi 0.0000 0.0941 0.0000 [4 per cell]  5 O 2.22-2.48
Bi 0.2217 0.4054 0.0587 [4 per cell]  4 O 2.20-2.36
Bi 0.2784 0.1218 0.5204 [4 per cell]  3 O 2.24-2.38
Bi 0.4721 0.1657 0.0323 [4 per cell]  3 O 2.19-2.41
O 0.0922 0.0728 0.6708 [4 per cell]  3 Bi 2.22-2.38
O 0.1293 0.4365 0.3788 [4 per cell]  3 Bi 2.20-2.36
O 0.3577 0.0405 0.1849 [4 per cell]  3 Bi 2.19-2.37
O 0.3614 0.2792 0.2876 [4 per cell]  4 Bi 2.31-2.51
O 0.3626 0.4808 0.7798 [4 per cell]  3 Bi 2.23-2.48

For the relative energy among the computed polymorphs, the calculation gives 0 meV/atom. The value obtained for the formation energy from raw total energies is -0.993 eV per atom. As for the total magnetization: 0.00 μB per formula unit. For the total energy, the calculation gives -5.473 eV/atom.

Record 6
First-principles (PBE-GGA) data for YTa2V after structural relaxation, as listed in Alexandria.

a b c (Å): 4.0707 4.0707 20.4074
angles (deg): 90.00 90.00 90.00
With the nearest neighbours (Å) after each atom.
Space group I-42d (No. 122)
One atom of each set of equivalent atoms:
Y 0.0000 0.0000 0.0000 [4 per cell]  4 V 2.88, 4 Ta 2.94
Ta 0.2392 0.2500 0.6250 [8 per cell]  4 Ta 2.82-2.94, 2 V 2.91, 2 Y 2.94
V 0.0000 0.0000 0.5000 [4 per cell]  4 Y 2.88, 4 Ta 2.91

For the relative energy among the computed polymorphs, the calculation gives 319 meV/atom. As for the total magnetization: 1.85 μB per formula unit. The calculation puts the density of states at the Fermi level at 14.25 states/eV/cell. The calculation puts the energy of formation at 0.8591 eV per atom. For the total energy, the calculation gives -8.963 eV/atom.